[1]
Here is a relaxed Tb6Dy7Er16 crystal from the Alexandria database. Energies are from PBE-GGA.

As for the formation energy: 0.25 eV per atom.

The space group is Fm-3m (No. 225) and the conventional cell measures 15.578, 15.578 and 15.578 Å, with angles of 90.00, 90.00 and 90.00 degrees. The asymmetric unit holds Tb at (0.000, 0.000, 0.223), Dy at (0.000, 0.000, 0.500), Dy at (0.000, 0.250, 0.250), Er at (0.124, 0.124, 0.376) and Er at (0.152, 0.152, 0.152).

=====

[2]
Here is a relaxed DyCoP2Ru crystal from the Alexandria database. Energies are from PBE-GGA.

As for the formation energy: -0.99 eV per atom.

The space group is I-4m2 (No. 119) and the conventional cell measures 3.891, 3.891 and 9.705 Å, with angles of 90.00, 90.00 and 90.00 degrees. The asymmetric unit holds Dy at (0.000, 0.000, 0.000), Co at (0.000, 0.500, 0.250), P at (0.000, 0.000, 0.379) and Ru at (0.000, 0.500, 0.750).

=====

[3]
Here is a relaxed Mg5Mn4 crystal from the Alexandria database. Energies are from PBE-GGA.

As for the formation energy: 0.25 eV per atom.

The space group is I4/mmm (No. 139) and the conventional cell measures 8.772, 8.772 and 4.120 Å, with angles of 90.00, 90.00 and 90.00 degrees. The asymmetric unit holds Mg at (0.000, 0.000, 0.000), Mg at (0.172, 0.172, 0.500) and Mn at (0.000, 0.352, 0.000).

=====

[4]
Here is a relaxed Nd2Zn3Ga crystal from the Alexandria database. Energies are from PBE-GGA.

As for the formation energy: -0.44 eV per atom.

The space group is Pmm2 (No. 25) and the conventional cell measures 3.725, 4.535 and 7.858 Å, with angles of 90.00, 90.00 and 90.00 degrees. The asymmetric unit holds Nd at (0.000, 0.000, 0.000), Nd at (0.000, 0.500, 0.496), Zn at (0.500, 0.000, 0.668), Zn at (0.500, 0.500, 0.163), Zn at (0.500, 0.500, 0.830) and Ga at (0.500, 0.000, 0.333).

=====

[5]
Here is a relaxed PuSeO4 crystal from the Alexandria database. Energies are from PBE-GGA.

The calculation puts the formation energy (no corrections) at -1.77 eV/atom.

The space group is C2/c (No. 15) and the conventional cell measures 5.976, 14.934 and 5.572 Å, with angles of 90.00, 117.33 and 90.00 degrees. The asymmetric unit holds Pu at (0.000, 0.187, 0.250), Se at (0.000, 0.478, 0.750), O at (0.211, 0.187, 0.626) and O at (0.246, 0.091, 0.150).

=====

[6]
Here is a relaxed SrCr2Cu crystal from the Alexandria database. Energies are from PBE-GGA.

As for the formation energy: 1.01 eV per atom.

The space group is I4_1/amd (No. 141, origin choice 2) and the conventional cell measures 4.198, 4.198 and 18.997 Å, with angles of 90.00, 90.00 and 90.00 degrees. The asymmetric unit holds Sr at (0.000, 0.250, 0.375), Cr at (0.000, 0.000, 0.000) and Cu at (0.000, 0.250, 0.875).

=====

[7]
Here is a relaxed MgPt2Rh crystal from the Alexandria database. Energies are from PBE-GGA.

As for the formation energy: -0.28 eV per atom.

The space group is F-43m (No. 216) and the conventional cell measures 6.303, 6.303 and 6.303 Å, with angles of 90.00, 90.00 and 90.00 degrees. The asymmetric unit holds Mg at (0.000, 0.000, 0.000), Pt at (0.000, 0.000, 0.500), Pt at (0.250, 0.250, 0.750) and Rh at (0.250, 0.250, 0.250).

=====

[8]
Here is a relaxed Li8Zn4Cd crystal from the Alexandria database. Energies are from PBE-GGA.

As for the formation energy: -0.13 eV per atom.

The space group is I4/mmm (No. 139) and the conventional cell measures 9.361, 9.361 and 5.063 Å, with angles of 90.00, 90.00 and 90.00 degrees. The asymmetric unit holds Li at (0.000, 0.206, 0.000), Li at (0.000, 0.340, 0.500), Zn at (0.250, 0.250, 0.250) and Cd at (0.000, 0.000, 0.500).

=====

[9]
Here is a relaxed Na4H3F crystal from the Alexandria database. Energies are from PBE-GGA.

The calculation puts the total energy at -2.98 eV per atom.

The space group is P2/c (No. 13) and the conventional cell measures 5.869, 6.771 and 5.863 Å, with angles of 90.00, 109.47 and 90.00 degrees. The asymmetric unit holds Na at (0.246, 0.123, 0.001), Na at (0.250, 0.373, 0.497), H at (0.000, 0.373, 0.750), H at (0.500, 0.124, 0.750), H at (0.500, 0.375, 0.250) and F at (0.000, 0.124, 0.250).

=====

[10]
Here is a relaxed CaCe6S12 crystal from the Alexandria database. Energies are from PBE-GGA.

The calculation puts the formation energy (no corrections) at -1.87 eV/atom.

The space group is R-3 (No. 148, hexagonal axes) and the conventional cell measures 12.3447, 12.3447 and 11.1602 Å, with angles of 90.00, 90.00 and 120.00 degrees. The asymmetric unit holds Ca at (0.0000, 0.0000, 0.0000), Ce at (0.0508, 0.7854, 0.6513), S at (0.0368, 0.8176, 0.3962) and S at (0.0459, 0.8260, 0.8926).

=====

[11]
Here is a relaxed BaYS2O8 crystal from the Alexandria database. Energies are from PBE-GGA.

The calculation puts the formation energy (no corrections) at -2.04 eV/atom.

The space group is P-3m1 (No. 164) and the conventional cell measures 5.2444, 5.2444 and 8.2746 Å, with angles of 90.00, 90.00 and 120.00 degrees. The asymmetric unit holds Ba at (0.0000, 0.0000, 0.0000), Y at (0.0000, 0.0000, 0.5000), S at (0.3333, 0.6667, 0.7659), O at (0.1781, 0.3561, 0.7084) and O at (0.3333, 0.6667, 0.9456).

=====

[12]
Here is a relaxed PrIn15Hg4 crystal from the Alexandria database. Energies are from PBE-GGA.

As for the formation energy: -0.07 eV per atom.

The space group is P4/mmm (No. 123) and the conventional cell measures 4.638, 4.638 and 24.721 Å, with angles of 90.00, 90.00 and 90.00 degrees. The asymmetric unit holds Pr at (0.000, 0.000, 0.000), In at (0.000, 0.500, 0.101), In at (0.000, 0.500, 0.300), In at (0.000, 0.500, 0.500), In at (0.500, 0.500, 0.000), In at (0.500, 0.500, 0.199), In at (0.500, 0.500, 0.399), Hg at (0.000, 0.000, 0.198) and Hg at (0.000, 0.000, 0.401).

=====

[13]
Here is a relaxed SiGe2Br2 crystal from the Alexandria database. Energies are from PBE-GGA.

The calculation puts the formation energy (no corrections) at 0.57 eV/atom.

The space group is P4/mbm (No. 127) and the conventional cell measures 8.725, 8.725 and 3.320 Å, with angles of 90.00, 90.00 and 90.00 degrees. The asymmetric unit holds Si at (0.000, 0.000, 0.000), Ge at (0.207, 0.293, 0.500) and Br at (0.127, 0.627, 0.000).

=====

[14]
Here is a relaxed K2Cd2Bi crystal from the Alexandria database. Energies are from PBE-GGA.

As for the formation energy: -0.17 eV per atom.

The space group is P4/mbm (No. 127) and the conventional cell measures 8.030, 8.030 and 5.633 Å, with angles of 90.00, 90.00 and 90.00 degrees. The asymmetric unit holds K at (0.184, 0.316, 0.000), Cd at (0.127, 0.627, 0.500) and Bi at (0.000, 0.000, 0.500).

=====

[15]
Here is a relaxed NaH6Pt2 crystal from the Alexandria database. Energies are from PBE-GGA.

The calculation puts the total energy at -3.78 eV per atom.

The space group is P-31m (No. 162) and the conventional cell measures 5.1076, 5.1076 and 4.0672 Å, with angles of 90.00, 90.00 and 120.00 degrees. The asymmetric unit holds Na at (0.0000, 0.0000, 0.0000), H at (0.0000, 0.3976, 0.2180) and Pt at (0.3333, 0.6667, 0.0000).

=====

[16]
Here is a relaxed Sm2Be3NiPt4 crystal from the Alexandria database. Energies are from PBE-GGA.

As for the formation energy: -0.82 eV per atom.

The space group is P-4m2 (No. 115) and the conventional cell measures 4.037, 4.037 and 9.908 Å, with angles of 90.00, 90.00 and 90.00 degrees. The asymmetric unit holds Sm at (0.000, 0.500, 0.248), Be at (0.000, 0.000, 0.000), Be at (0.000, 0.500, 0.620), Ni at (0.500, 0.500, 0.000), Pt at (0.000, 0.000, 0.500), Pt at (0.000, 0.500, 0.854) and Pt at (0.500, 0.500, 0.500).

=====

[17]
Here is a relaxed TmAl6Ag6 crystal from the Alexandria database. Energies are from PBE-GGA.

As for the formation energy: -0.17 eV per atom.

The space group is Immm (No. 71) and the conventional cell measures 5.374, 9.075 and 9.422 Å, with angles of 90.00, 90.00 and 90.00 degrees. The asymmetric unit holds Tm at (0.000, 0.000, 0.000), Al at (0.000, 0.268, 0.500), Al at (0.250, 0.250, 0.250), Ag at (0.000, 0.000, 0.344), Ag at (0.000, 0.337, 0.000) and Ag at (0.000, 0.500, 0.311).

=====

[18]
Here is a relaxed ErTmCdCu crystal from the Alexandria database. Energies are from PBE-GGA.

As for the formation energy: -0.24 eV per atom.

The space group is F-43m (No. 216) and the conventional cell measures 7.158, 7.158 and 7.158 Å, with angles of 90.00, 90.00 and 90.00 degrees. The asymmetric unit holds Er at (0.000, 0.000, 0.000), Tm at (0.000, 0.000, 0.500), Cd at (0.250, 0.250, 0.250) and Cu at (0.250, 0.250, 0.750).

=====

[19]
Here is a relaxed HoPu2USb4 crystal from the Alexandria database. Energies are from PBE-GGA.

The calculation puts the formation energy (no corrections) at -0.61 eV/atom.

The space group is P2/m (No. 10) and the conventional cell measures 7.612, 4.388 and 7.628 Å, with angles of 90.00, 109.32 and 90.00 degrees. The asymmetric unit holds Ho at (0.000, 0.000, 0.000), Pu at (0.000, 0.500, 0.500), Pu at (0.500, 0.000, 0.500), U at (0.500, 0.500, 0.000), Sb at (0.250, 0.000, 0.754) and Sb at (0.250, 0.500, 0.245).

=====

[20]
Here is a relaxed KSr2Co crystal from the Alexandria database. Energies are from PBE-GGA.

As for the formation energy: 0.64 eV per atom.

The space group is Fm-3m (No. 225) and the conventional cell measures 8.279, 8.279 and 8.279 Å, with angles of 90.00, 90.00 and 90.00 degrees. The asymmetric unit holds K at (0.000, 0.000, 0.000), Sr at (0.250, 0.250, 0.250) and Co at (0.000, 0.000, 0.500).

=====

In states/eV/f.u., the DOS(E_F) values for the records above are, in order, 61.69, 2.07, 6.31, 6.26, 3.75, 5.24, 6.75, 3.53, 0.00, 25.40, 1.91, 7.71, 2.44, 2.64, 2.02, 5.92, 3.68, 3.78, 37.36, 9.95.